# FeTcO2

A geometry-optimized FeTcO2 structure (GGA+U, the Alexandria database).

energy above the most stable polymorph in this dataset	0.000	eV per atom
calculated volume	44	Å³ per cell
DOS(E_F)	1.61	states/eV/cell
space group	R-3m, No. 166

Lattice parameters (Å, degrees): 6.771 6.771 6.771 23.57 23.57 23.57
Fractional coordinates of all 4 atoms:
Fe 0.000 0.000 0.000
Tc 0.500 0.500 0.500
O 0.098 0.098 0.098
O 0.902 0.902 0.902